Entry 1:
First-principles (PBE) data for AlPRu after structural relaxation, as listed in Alexandria.

Results
M_tot ... 0.00 Bohr magnetons per cell
Uncorrected energy ... -18.80 eV for the cell shown

a = 3.981 Å, b = 3.981 Å, c = 3.981 Å
α = 60.00°, β = 60.00°, γ = 60.00°
Sites, in units of the cell vectors:
1 Al 0.500 0.500 0.500
2 Ru 0.000 0.000 0.000
3 P 0.750 0.750 0.750

=====

Entry 2:
First-principles (PBE) data for CoRe2Au after structural relaxation, as listed in Alexandria.

Results
M_tot ... 1.77 Bohr magnetons per cell
Uncorrected energy ... -34.33 eV for the cell shown

a = 9.137 Å, b = 9.137 Å, c = 9.137 Å
α = 17.42°, β = 17.42°, γ = 17.42°
Site moments in Bohr magnetons follow the coordinates.
Sites, in units of the cell vectors:
1 Co 0.746 0.746 0.746  1.60
2 Re 0.002 0.002 0.002  0.12
3 Re 0.255 0.255 0.255  0.09
4 Au 0.496 0.496 0.496  -0.01